Entry 1:
The following is a GGA-PBE calculation of a relaxed structure of Al2ReCl, from Alexandria.

Properties
Its offset from the most stable computed form is 0.477 eV/atom. As for the formation energy without anion corrections: 0.18 eV/atom.

Cell: 2.724 4.867 10.442 Å, 90.00 90.00 90.00°
Space group Imm2 (No. 44)
Symmetry-distinct sites (fractional):
Al1 0.000 0.000 0.000 (multiplicity 2)
Al2 0.000 0.500 0.239 (multiplicity 2)
Re1 0.000 0.500 0.715 (multiplicity 2)
Cl1 0.000 0.000 0.415 (multiplicity 2)

Entry 2:
The following is a GGA-PBE calculation of a relaxed structure of Al2ReCl, from Alexandria.

Properties
Its offset from the most stable computed form is 0.199 eV/atom. As for the formation energy without anion corrections: -0.10 eV/atom.

Cell: 3.064 3.064 7.395 Å, 90.00 90.00 90.00°
Space group P4/mmm (No. 123)
Symmetry-distinct sites (fractional):
Al1 0.000 0.000 0.197 (multiplicity 2)
Re1 0.500 0.500 0.000 (multiplicity 1)
Cl1 0.500 0.500 0.500 (multiplicity 1)